{
  "formula": "ScZnCr2",
  "functional": "PBE",
  "state": "relaxed",
  "magmom_total_mub_per_cell": 0.00,
  "formation_enthalpy_0k_ev_per_fu": 0.998,
  "final_energy_ev_per_atom": -6.46,
  "lattice_angstrom": [[1.5346, -2.2282, 0.0000], [1.5346, 2.2282, 0.0000], [0.0000, 0.0000, 8.6097]],
  "species": ["Sc", "Zn", "Cr", "Cr"],
  "fractional_positions": [[0.0000, 0.0000, 0.0000], [0.5000, 0.5000, 0.2891], [0.0000, 0.0000, 0.5399], [0.5000, 0.5000, 0.7354]]
}


{
  "formula": "Ac2Sn4Hg3Pd",
  "functional": "PBE",
  "state": "relaxed",
  "magmom_total_mub_per_cell": 0.00,
  "formation_enthalpy_0k_ev_per_fu": -4.130,
  "final_energy_ev_per_atom": -3.45,
  "lattice_angstrom": [[4.8589, 0.0000, 0.0000], [0.0000, 4.8589, 0.0000], [0.0000, 0.0000, 11.7677]],
  "species": ["Ac", "Ac", "Sn", "Sn", "Sn", "Sn", "Hg", "Hg", "Hg", "Pd"],
  "fractional_positions": [[0.0000, 0.5000, 0.2228], [0.5000, 0.0000, 0.7772], [0.0000, 0.0000, 0.5000], [0.0000, 0.5000, 0.8804], [0.5000, 0.0000, 0.1196], [0.5000, 0.5000, 0.5000], [0.0000, 0.0000, 0.0000], [0.0000, 0.5000, 0.6456], [0.5000, 0.0000, 0.3544], [0.5000, 0.5000, 0.0000]]
}


{
  "formula": "MnSi2Cl",
  "functional": "PBE",
  "state": "relaxed",
  "e_form_raw_ev_per_atom": 0.1684,
  "magmom_total_mub_per_cell": 0.00,
  "final_energy_ev_per_atom": -5.30,
  "relative_energy_ev_per_atom": 0.191,
  "lattice_angstrom": [[2.8950, 0.0000, 0.0000], [0.0000, 2.8950, 0.0000], [0.0000, 0.0000, 6.9193]],
  "species": ["Mn", "Si", "Si", "Cl"],
  "fractional_positions": [[0.0000, 0.0000, 0.0000], [0.5000, 0.5000, 0.1905], [0.5000, 0.5000, 0.8095], [0.0000, 0.0000, 0.5000]]
}


{
  "formula": "TaSi2Ir",
  "functional": "PBE",
  "state": "relaxed",
  "e_form_raw_ev_per_atom": -0.0359,
  "magmom_total_mub_per_cell": 0.00,
  "final_energy_ev_per_atom": -7.93,
  "lattice_angstrom": [[-1.9511, 1.9511, 8.6452], [1.9511, -1.9511, 8.6452], [1.9511, 1.9511, -8.6452]],
  "species": ["Ta", "Ta", "Si", "Si", "Si", "Si", "Ir", "Ir"],
  "fractional_positions": [[0.0000, 0.0000, 0.0000], [0.7500, 0.2500, 0.5000], [0.1646, 0.6250, 0.0396], [0.3750, 0.4146, 0.5396], [0.5854, 0.1250, 0.9604], [0.8750, 0.8354, 0.4604], [0.2500, 0.7500, 0.5000], [0.5000, 0.5000, 0.0000]]
}


{
  "formula": "Be2Zn2Ir",
  "functional": "PBE",
  "state": "relaxed",
  "magmom_total_mub_per_cell": 0.00,
  "formation_enthalpy_0k_ev_per_fu": 0.871,
  "final_energy_ev_per_atom": -3.60,
  "relative_energy_ev_per_atom": 0.229,
  "lattice_angstrom": [[-1.6437, 1.6437, 5.6604], [1.6437, -1.6437, 5.6604], [1.6437, 1.6437, -5.6604]],
  "species": ["Be", "Be", "Zn", "Zn", "Ir"],
  "fractional_positions": [[0.0894, 0.0894, 0.0000], [0.9106, 0.9106, 0.0000], [0.2500, 0.7500, 0.5000], [0.7500, 0.2500, 0.5000], [0.5000, 0.5000, 0.0000]]
}


{
  "formula": "KAg5",
  "functional": "PBE",
  "state": "relaxed",
  "magmom_total_mub_per_cell": 0.00,
  "formation_enthalpy_0k_ev_per_fu": 1.156,
  "final_energy_ev_per_atom": -2.37,
  "lattice_angstrom": [[2.1955, -6.7953, 0.0000], [2.1955, 6.7953, 0.0000], [0.0000, 0.0000, 4.2442]],
  "species": ["K", "Ag", "Ag", "Ag", "Ag", "Ag"],
  "fractional_positions": [[0.0000, 0.0000, 0.0000], [0.1794, 0.8206, 0.5000], [0.3244, 0.6756, 0.0000], [0.5000, 0.5000, 0.5000], [0.6756, 0.3244, 0.0000], [0.8206, 0.1794, 0.5000]]
}


{
  "formula": "MgSnRuW2",
  "functional": "PBE",
  "state": "relaxed",
  "magmom_total_mub_per_cell": 3.53,
  "formation_enthalpy_0k_ev_per_fu": 12.474,
  "final_energy_ev_per_atom": -5.66,
  "lattice_angstrom": [[4.9892, 0.0000, 0.0000], [0.0000, 4.9892, 0.0000], [0.0000, 0.0000, 4.8446]],
  "species": ["Mg", "Sn", "Ru", "W", "W"],
  "fractional_positions": [[0.0000, 0.0000, 0.0000], [0.0000, 0.0000, 0.5000], [0.5000, 0.5000, 0.0000], [0.0000, 0.5000, 0.5000], [0.5000, 0.0000, 0.5000]]
}


{
  "formula": "CrCuSnRh",
  "functional": "PBE",
  "state": "relaxed",
  "magmom_total_mub_per_cell": 3.22,
  "formation_enthalpy_0k_ev_per_fu": -0.232,
  "final_energy_ev_per_atom": -6.33,
  "lattice_angstrom": [[0.0000, 3.1289, 3.1289], [3.1289, 0.0000, 3.1289], [3.1289, 3.1289, 0.0000]],
  "species": ["Cr", "Cu", "Sn", "Rh"],
  "fractional_positions": [[0.0000, 0.0000, 0.0000], [0.7500, 0.7500, 0.7500], [0.2500, 0.2500, 0.2500], [0.5000, 0.5000, 0.5000]]
}


{
  "formula": "SbI2Br3Cl6",
  "functional": "PBE",
  "state": "relaxed",
  "e_form_raw_ev_per_atom": -0.3512,
  "magmom_total_mub_per_cell": 0.00,
  "final_energy_ev_per_atom": -2.29,
  "lattice_angstrom": [[7.0246, -3.9975, 0.0000], [7.0246, 3.9975, 0.0000], [-0.6950, 0.0000, 8.0012]],
  "species": ["Sb", "I", "I", "Br", "Br", "Br", "Cl", "Cl", "Cl", "Cl", "Cl", "Cl"],
  "fractional_positions": [[0.0000, 0.0000, 0.0000], [0.3253, 0.3253, 0.3182], [0.6747, 0.6747, 0.6818], [0.0000, 0.5000, 0.5000], [0.5000, 0.0000, 0.5000], [0.5000, 0.5000, 0.5000], [0.0065, 0.0065, 0.2987], [0.0912, 0.6628, 0.9878], [0.3372, 0.9088, 0.0122], [0.6628, 0.0912, 0.9878], [0.9088, 0.3372, 0.0122], [0.9935, 0.9935, 0.7013]]
}


{
  "formula": "SrLa2MgB",
  "functional": "PBE",
  "state": "relaxed",
  "magmom_total_mub_per_cell": 0.00,
  "formation_enthalpy_0k_ev_per_fu": 4.056,
  "final_energy_ev_per_atom": -3.15,
  "lattice_angstrom": [[6.0627, 0.0000, 0.0000], [0.0000, 6.0627, 0.0000], [0.0000, 0.0000, 4.3330]],
  "species": ["Sr", "La", "La", "Mg", "B"],
  "fractional_positions": [[0.0000, 0.0000, 0.0000], [0.0000, 0.5000, 0.5000], [0.5000, 0.0000, 0.5000], [0.5000, 0.5000, 0.5000], [0.5000, 0.5000, 0.0000]]
}


{
  "formula": "LiAc6Ru2Br3",
  "functional": "PBE",
  "state": "relaxed",
  "e_form_raw_ev_per_atom": -0.7736,
  "magmom_total_mub_per_cell": 0.00,
  "final_energy_ev_per_atom": -4.95,
  "lattice_angstrom": [[3.8029, -6.5928, 0.0000], [3.8029, 6.5928, 0.0000], [-2.5192, 0.0000, 8.4321]],
  "species": ["Li", "Ac", "Ac", "Ac", "Ac", "Ac", "Ac", "Ru", "Ru", "Br", "Br", "Br"],
  "fractional_positions": [[0.0000, 0.0000, 0.0000], [0.0663, 0.4330, 0.2000], [0.3010, 0.3010, 0.8001], [0.4330, 0.0663, 0.2000], [0.5670, 0.9337, 0.8000], [0.6990, 0.6990, 0.1999], [0.9337, 0.5670, 0.8000], [0.3336, 0.6664, 0.0000], [0.6664, 0.3336, 0.0000], [0.1699, 0.8301, 0.5000], [0.5000, 0.5000, 0.5000], [0.8301, 0.1699, 0.5000]]
}


{
  "formula": "TbGaCuNi3",
  "functional": "PBE",
  "state": "relaxed",
  "magmom_total_mub_per_cell": 0.00,
  "formation_enthalpy_0k_ev_per_fu": -1.048,
  "final_energy_ev_per_atom": -5.02,
  "lattice_angstrom": [[2.6373, -6.1025, 0.0000], [2.6373, 6.1025, 0.0000], [0.0000, 0.0000, 5.5970]],
  "species": ["Tb", "Tb", "Ga", "Ga", "Cu", "Cu", "Ni", "Ni", "Ni", "Ni", "Ni", "Ni"],
  "fractional_positions": [[0.1853, 0.8147, 0.7500], [0.8147, 0.1853, 0.2500], [0.1368, 0.8632, 0.2500], [0.8632, 0.1368, 0.7500], [0.3963, 0.6037, 0.7500], [0.6037, 0.3963, 0.2500], [0.2349, 0.2349, 0.0000], [0.2349, 0.2349, 0.5000], [0.3571, 0.6429, 0.2500], [0.6429, 0.3571, 0.7500], [0.7651, 0.7651, 0.0000], [0.7651, 0.7651, 0.5000]]
}